A relaxed structure of Ga3IrAu, computed with PBE.

* relative energy among the computed polymorphs: 186.8 meV/atom
* DFT formation energy: -108 meV/atom
* spin magnetization: 0.0 μB per formula unit

Cell: 4.8036 4.8036 4.8036 Å, 90.00 90.00 90.00°
Last column: nearest neighbours and their distance in Å.
Fractional coordinates of all 5 atoms:
Ir (0.0000, 0.0000, 0.0000)  6 Ga 2.40
Au (0.5000, 0.5000, 0.5000)  12 Ga 3.40
Ga (0.0000, 0.5000, 0.0000)  2 Ir 2.40
Ga (0.0000, 0.0000, 0.5000)  2 Ir 2.40
Ga (0.5000, 0.0000, 0.0000)  2 Ir 2.40